The following is a DFT calculation (PBE+U) of a relaxed structure of HfMgCr2F.

Unit cell a=5.5123 b=5.5123 c=3.5452 alpha=90.00 beta=90.00 gamma=90.00
Atoms (fractional coordinates):
Hf 0.0000 0.0000 0.0000
Mg 0.5000 0.5000 0.5000
Cr 0.0000 0.5000 0.5000
Cr 0.5000 0.0000 0.5000
F 0.5000 0.5000 0.0000

For the total energy, the calculation gives -5.56 eV per atom. The density is 5.022 g/cm³. The calculation puts the total magnetic moment at 9.41 μB/f.u.